{
  "formula": "MnAuCl2",
  "functional": "PBE",
  "state": "relaxed",
  "e_form_raw_mev_per_atom": -330,
  "e_above_lowest_polymorph_mev_per_atom": 104.4,
  "spacegroup": "Immm (71)",
  "cell": [[7.096, 0.112, -0.016], [4.605, 5.401, 0.016], [-5.348, -3.823, 2.675]],
  "species": ["Au", "Mn", "Cl", "Cl"],
  "frac_coords": [[0.750, 0.250, 0.500], [0.250, 0.750, 0.500], [0.391, 0.391, 0.000], [0.109, 0.109, 0.000]]
}


{
  "formula": "TbPa3C",
  "functional": "PBE",
  "state": "relaxed",
  "spacegroup": "Pm-3m (221)",
  "cell": [[-1.126, -1.781, 4.405], [2.721, -3.953, -0.902], [3.895, 2.246, 1.904]],
  "species": ["Pa", "Pa", "Pa", "Tb", "C"],
  "frac_coords": [[0.500, 0.000, 0.000], [0.000, 0.000, 0.500], [0.000, 0.500, 0.000], [0.500, 0.500, 0.500], [0.000, 0.000, 0.000]]
}


{
  "formula": "NdH8Rh4Au",
  "functional": "PBE",
  "state": "relaxed",
  "spacegroup": "R3m (160)",
  "cell": [[-0.521, -3.164, 4.659], [3.874, 0.353, 4.106], [-1.430, 2.579, 5.024]],
  "species": ["Rh", "Rh", "Rh", "Rh", "Nd", "H", "H", "H", "H", "H", "H", "H", "H", "Au"],
  "frac_coords": [[0.004, 0.004, 0.477], [0.632, 0.632, 0.105], [0.515, 0.004, 0.477], [0.004, 0.515, 0.477], [0.378, 0.378, 0.866], [0.238, 0.863, 0.661], [0.682, 0.682, 0.355], [0.682, 0.282, 0.355], [0.761, 0.761, 0.717], [0.238, 0.238, 0.661], [0.282, 0.682, 0.355], [0.863, 0.238, 0.661], [0.223, 0.223, 0.330], [0.999, 0.999, 0.002]]
}


Number 1: energy -4.365 eV per atom. Number 2: energy -8.529 eV per atom. Number 3: energy -4.750 eV per atom.